Version P
Entry from the Alexandria database: an optimized crystal structure of Pm2YTm7 (PBE-GGA).

The structure in CIF format:
```
data_Pm2YTm7
_symmetry_space_group_name_H-M 'C m m m'
_symmetry_Int_Tables_number 65
_symmetry_space_group_name_Hall '-C 2 2'
_cell_length_a 6.418
_cell_length_b 28.545
_cell_length_c 3.499
_cell_angle_alpha 90.00
_cell_angle_beta 90.00
_cell_angle_gamma 90.00
loop_
_atom_site_label
_atom_site_type_symbol
_atom_site_fract_x
_atom_site_fract_y
_atom_site_fract_z
Pm1 Pm 0.000 0.209 0.000
Y1 Y 0.000 0.500 0.500
Tm1 Tm 0.000 0.000 0.000
Tm2 Tm 0.000 0.316 0.500
Tm3 Tm 0.246 0.402 0.000
```

Summary:
- DOS at the Fermi energy (states/eV per cell) = 28.5
- calculated volume (Å³/atom) = 32.05



Version Q
Entry from the Alexandria database: an optimized crystal structure of Pm2YTm7 (PBE-GGA).

The structure in CIF format:
```
data_Pm2YTm7
_symmetry_space_group_name_H-M 'P -1'
_symmetry_Int_Tables_number 2
_cell_length_a 6.109
_cell_length_b 7.050
_cell_length_c 7.896
_cell_angle_alpha 77.10
_cell_angle_beta 74.96
_cell_angle_gamma 73.32
loop_
_symmetry_equiv_pos_as_xyz
'x,y,z'
'-x,-y,-z'
loop_
_atom_site_label
_atom_site_type_symbol
_atom_site_fract_x
_atom_site_fract_y
_atom_site_fract_z
Pm1 Pm 0.201 0.299 0.100
Y1 Y 0.000 0.000 0.500
Tm1 Tm 0.000 0.500 0.500
Tm2 Tm 0.200 0.800 0.100
Tm3 Tm 0.399 0.101 0.698
Tm4 Tm 0.401 0.600 0.698
```

Summary:
- DOS at the Fermi energy (states/eV per cell) = 13.1
- calculated volume (Å³/atom) = 31.05



Least stable of them? version P.



Version P
Entry from the Alexandria database: an optimized crystal structure of Pm3YTm2 (PBE-GGA).

The structure in CIF format:
```
data_Pm3YTm2
_symmetry_space_group_name_H-M 'I m m m'
_symmetry_Int_Tables_number 71
_symmetry_space_group_name_Hall '-I 2 2'
_cell_length_a 3.502
_cell_length_b 5.873
_cell_length_c 19.586
_cell_angle_alpha 90.00
_cell_angle_beta 90.00
_cell_angle_gamma 90.00
loop_
_atom_site_label
_atom_site_type_symbol
_atom_site_fract_x
_atom_site_fract_y
_atom_site_fract_z
Pm1 Pm 0.000 0.000 0.000
Pm2 Pm 0.000 0.500 0.192
Y1 Y 0.000 0.500 0.000
Tm1 Tm 0.000 0.500 0.364
```

Summary:
- DOS at the Fermi energy (states/eV per cell) = 22.1
- calculated volume (Å³/atom) = 33.57



Version Q
Entry from the Alexandria database: an optimized crystal structure of Pm3YTm2 (PBE-GGA).

The structure in CIF format:
```
data_Pm3YTm2
_symmetry_space_group_name_H-M 'P 1 21/m 1'
_symmetry_Int_Tables_number 11
_cell_length_a 6.215
_cell_length_b 3.595
_cell_length_c 17.553
_cell_angle_alpha 90.00
_cell_angle_beta 96.83
_cell_angle_gamma 90.00
loop_
_symmetry_equiv_pos_as_xyz
'x,y,z'
'-x,-y,-z'
'-x,y+1/2,-z'
'x,-y+1/2,z'
loop_
_atom_site_label
_atom_site_type_symbol
_atom_site_fract_x
_atom_site_fract_y
_atom_site_fract_z
Pm1 Pm 0.026 0.250 0.332
Pm2 Pm 0.139 0.750 0.165
Pm3 Pm 0.253 0.750 0.503
Y1 Y 0.363 0.750 0.834
Tm1 Tm 0.251 0.250 0.000
Tm2 Tm 0.476 0.250 0.668
```

Summary:
- DOS at the Fermi energy (states/eV per cell) = 15.5
- calculated volume (Å³/atom) = 32.45



Least stable of them? version P.



Version P
Entry from the Alexandria database: an optimized crystal structure of Pm4Y3Tm4 (PBE-GGA).

The structure in CIF format:
```
data_Pm4Y3Tm4
_symmetry_space_group_name_H-M 'A m m 2'
_symmetry_Int_Tables_number 38
_cell_length_a 10.564
_cell_length_b 5.667
_cell_length_c 12.052
_cell_angle_alpha 90.00
_cell_angle_beta 90.00
_cell_angle_gamma 90.00
loop_
_symmetry_equiv_pos_as_xyz
'x,y,z'
'-x,-y,z'
'-x,y,z'
'x,-y,z'
'x,y+1/2,z+1/2'
'-x,-y+1/2,z+1/2'
'-x,y+1/2,z+1/2'
'x,-y+1/2,z+1/2'
loop_
_atom_site_label
_atom_site_type_symbol
_atom_site_fract_x
_atom_site_fract_y
_atom_site_fract_z
Pm1 Pm 0.000 0.000 0.000
Pm2 Pm 0.208 0.000 0.794
Pm3 Pm 0.500 0.000 0.924
Y1 Y 0.000 0.000 0.293
Y2 Y 0.290 0.000 0.451
Tm1 Tm 0.000 0.000 0.592
Tm2 Tm 0.302 0.000 0.144
Tm3 Tm 0.500 0.000 0.653
```

Summary:
- DOS at the Fermi energy (states/eV per cell) = 34.1
- calculated volume (Å³/atom) = 32.79



Version Q
Entry from the Alexandria database: an optimized crystal structure of Pm4Y3Tm4 (PBE-GGA).

The structure in CIF format:
```
data_Pm4Y3Tm4
_symmetry_space_group_name_H-M 'P -1'
_symmetry_Int_Tables_number 2
_cell_length_a 3.584
_cell_length_b 5.578
_cell_length_c 18.245
_cell_angle_alpha 98.78
_cell_angle_beta 95.57
_cell_angle_gamma 90.00
loop_
_symmetry_equiv_pos_as_xyz
'x,y,z'
'-x,-y,-z'
loop_
_atom_site_label
_atom_site_type_symbol
_atom_site_fract_x
_atom_site_fract_y
_atom_site_fract_z
Pm1 Pm 0.055 0.053 0.105
Pm2 Pm 0.179 0.678 0.355
Y1 Y 0.352 0.854 0.708
Y2 Y 0.500 0.500 0.000
Tm1 Tm 0.236 0.235 0.471
Tm2 Tm 0.405 0.407 0.815
```

Summary:
- DOS at the Fermi energy (states/eV per cell) = 17.3
- calculated volume (Å³/atom) = 32.61



Least stable of them? version P.



Version P
Entry from the Alexandria database: an optimized crystal structure of PmY3Tm2 (PBE-GGA).

The structure in CIF format:
```
data_PmY3Tm2
_symmetry_space_group_name_H-M 'C 1 2/c 1'
_symmetry_Int_Tables_number 15
_cell_length_a 8.973
_cell_length_b 9.714
_cell_length_c 8.970
_cell_angle_alpha 90.00
_cell_angle_beta 102.73
_cell_angle_gamma 90.00
loop_
_symmetry_equiv_pos_as_xyz
'x,y,z'
'-x,-y,-z'
'-x,y,-z+1/2'
'x,-y,z+1/2'
'x+1/2,y+1/2,z'
'-x+1/2,-y+1/2,-z'
'-x+1/2,y+1/2,-z+1/2'
'x+1/2,-y+1/2,z+1/2'
loop_
_atom_site_label
_atom_site_type_symbol
_atom_site_fract_x
_atom_site_fract_y
_atom_site_fract_z
Pm1 Pm 0.000 0.069 0.250
Y1 Y 0.000 0.402 0.250
Y2 Y 0.243 0.417 0.992
Tm1 Tm 0.125 0.253 0.625
```

Summary:
- DOS at the Fermi energy (states/eV per cell) = 44.4
- calculated volume (Å³/atom) = 31.78



Version Q
Entry from the Alexandria database: an optimized crystal structure of PmY3Tm2 (PBE-GGA).

The structure in CIF format:
```
data_PmY3Tm2
_symmetry_space_group_name_H-M 'C 1 2/m 1'
_symmetry_Int_Tables_number 12
_cell_length_a 21.976
_cell_length_b 3.637
_cell_length_c 11.277
_cell_angle_alpha 90.00
_cell_angle_beta 120.86
_cell_angle_gamma 90.00
loop_
_symmetry_equiv_pos_as_xyz
'x,y,z'
'-x,-y,-z'
'-x,y,-z'
'x,-y,z'
'x+1/2,y+1/2,z'
'-x+1/2,-y+1/2,-z'
'-x+1/2,y+1/2,-z'
'x+1/2,-y+1/2,z'
loop_
_atom_site_label
_atom_site_type_symbol
_atom_site_fract_x
_atom_site_fract_y
_atom_site_fract_z
Pm1 Pm 0.110 0.000 0.233
Y1 Y 0.055 0.500 0.431
Y2 Y 0.113 0.000 0.739
Y3 Y 0.223 0.000 0.600
Tm1 Tm 0.057 0.500 0.931
Tm2 Tm 0.222 0.000 0.095
```

Summary:
- DOS at the Fermi energy (states/eV per cell) = 41.6
- calculated volume (Å³/atom) = 32.24



Least stable of them? version P.



Version P
Entry from the Alexandria database: an optimized crystal structure of Pm3Y4Tm4 (PBE-GGA).

The structure in CIF format:
```
data_Pm3Y4Tm4
_symmetry_space_group_name_H-M 'I m m m'
_symmetry_Int_Tables_number 71
_symmetry_space_group_name_Hall '-I 2 2'
_cell_length_a 5.265
_cell_length_b 10.088
_cell_length_c 14.531
_cell_angle_alpha 90.00
_cell_angle_beta 90.00
_cell_angle_gamma 90.00
loop_
_atom_site_label
_atom_site_type_symbol
_atom_site_fract_x
_atom_site_fract_y
_atom_site_fract_z
Pm1 Pm 0.000 0.000 0.000
Pm2 Pm 0.000 0.500 0.116
Y1 Y 0.000 0.333 0.325
Tm1 Tm 0.000 0.000 0.265
Tm2 Tm 0.000 0.149 0.500
```

Summary:
- DOS at the Fermi energy (states/eV per cell) = 33.9
- calculated volume (Å³/atom) = 35.08



Version Q
Entry from the Alexandria database: an optimized crystal structure of Pm3Y4Tm4 (PBE-GGA).

The structure in CIF format:
```
data_Pm3Y4Tm4
_symmetry_space_group_name_H-M 'P -1'
_symmetry_Int_Tables_number 2
_cell_length_a 3.483
_cell_length_b 5.653
_cell_length_c 18.230
_cell_angle_alpha 81.08
_cell_angle_beta 84.53
_cell_angle_gamma 90.00
loop_
_symmetry_equiv_pos_as_xyz
'x,y,z'
'-x,-y,-z'
loop_
_atom_site_label
_atom_site_type_symbol
_atom_site_fract_x
_atom_site_fract_y
_atom_site_fract_z
Pm1 Pm 0.000 0.000 0.000
Pm2 Pm 0.136 0.636 0.727
Y1 Y 0.266 0.267 0.467
Y2 Y 0.409 0.910 0.181
Tm1 Tm 0.319 0.819 0.363
Tm2 Tm 0.455 0.455 0.091
```

Summary:
- DOS at the Fermi energy (states/eV per cell) = 17.4
- calculated volume (Å³/atom) = 32.08



Least stable of them? version P.